Record 1
# Pm4Pr3Ho2 (PBE, optimized geometry)
data_Pm4Pr3Ho2
_chemical_formula_sum 'Pm4 Pr3 Ho2'
_cell_length_a 3.6407
_cell_length_b 3.6407
_cell_length_c 27.1698
_cell_angle_alpha 90.00
_cell_angle_beta 90.00
_cell_angle_gamma 120.00
_symmetry_space_group_name_H-M 'P 3 m 1'
_symmetry_Int_Tables_number 156
loop_
_symmetry_equiv_pos_as_xyz
'x,y,z'
'-y,x-y,z'
'-x+y,-x,z'
'-y,-x,z'
'-x+y,y,z'
'x,x-y,z'
loop_
_atom_site_label
_atom_site_type_symbol
_atom_site_fract_x
_atom_site_fract_y
_atom_site_fract_z
Pm1 Pm 0.0000 0.0000 0.0000
Pm2 Pm 0.0000 0.0000 0.2222
Pm3 Pm 0.3333 0.6667 0.3303
Pm4 Pm 0.3333 0.6667 0.5559
Pr1 Pr 0.0000 0.0000 0.4428
Pr2 Pr 0.3333 0.6667 0.1078
Pr3 Pr 0.3333 0.6667 0.7710
Ho1 Ho 0.0000 0.0000 0.6605
Ho2 Ho 0.0000 0.0000 0.8758
# V, Å³/atom: 34.65
# Energy of formation from the pure elements, eV/atom: 0.0715
# Crystal system: trigonal
# Excess energy over the best structure of this formula in the dataset, eV/atom: 0.056

---

Record 2
# BaLi2GeF8 (PBE, optimized geometry)
data_BaLi2GeF8
_chemical_formula_sum 'Ba1 Li2 Ge1 F8'
_cell_length_a 4.8446
_cell_length_b 4.9021
_cell_length_c 7.8482
_cell_angle_alpha 87.46
_cell_angle_beta 86.99
_cell_angle_gamma 69.89
_symmetry_space_group_name_H-M 'P -1'
_symmetry_Int_Tables_number 2
loop_
_symmetry_equiv_pos_as_xyz
'x,y,z'
'-x,-y,-z'
loop_
_atom_site_label
_atom_site_type_symbol
_atom_site_fract_x
_atom_site_fract_y
_atom_site_fract_z
Ba1 Ba 0.0000 0.0000 0.0000
Li1 Li 0.3694 0.3729 0.2943
Ge1 Ge 0.0000 0.0000 0.5000
F1 F 0.2205 0.7715 0.6717
F2 F 0.2256 0.2245 0.4924
F3 F 0.2322 0.7792 0.3273
F4 F 0.3198 0.3124 0.0733
# V, Å³/atom: 14.56
# Crystal system: triclinic
# Raw formation energy, eV/atom: -2.976

---

Record 3
# LaZn4Ag (PBE, optimized geometry)
data_LaZn4Ag
_chemical_formula_sum 'La4 Zn16 Ag4'
_cell_length_a 8.2912
_cell_length_b 16.2781
_cell_length_c 3.5542
_cell_angle_alpha 90.00
_cell_angle_beta 90.00
_cell_angle_gamma 90.00
_symmetry_space_group_name_H-M 'P b a m'
_symmetry_Int_Tables_number 55
loop_
_symmetry_equiv_pos_as_xyz
'x,y,z'
'-x,-y,-z'
'-x,-y,z'
'x,y,-z'
'x+1/2,-y+1/2,-z'
'-x+1/2,y+1/2,z'
'-x+1/2,y+1/2,-z'
'x+1/2,-y+1/2,z'
loop_
_atom_site_label
_atom_site_type_symbol
_atom_site_fract_x
_atom_site_fract_y
_atom_site_fract_z
La1 La 0.1257 0.1521 0.0000
Zn1 Zn 0.0238 0.6943 0.5000
Zn2 Zn 0.1227 0.5489 0.5000
Zn3 Zn 0.1274 0.9625 0.5000
Zn4 Zn 0.2136 0.8107 0.5000
Ag1 Ag 0.1303 0.4135 0.0000
# V, Å³/atom: 19.99
# Energy of formation from the pure elements, eV/atom: -0.1869
# Crystal system: orthorhombic
# Excess energy over the best structure of this formula in the dataset, eV/atom: 0.007

---

Record 4
# Ta2HgPb (PBE, optimized geometry)
data_Ta2HgPb
_chemical_formula_sum 'Ta6 Hg3 Pb3'
_cell_length_a 3.1076
_cell_length_b 3.1076
_cell_length_c 29.4777
_cell_angle_alpha 90.00
_cell_angle_beta 90.00
_cell_angle_gamma 120.00
_symmetry_space_group_name_H-M 'R -3 m'
_symmetry_Int_Tables_number 166
_symmetry_space_group_name_Hall '-R 3 2"'
loop_
_atom_site_label
_atom_site_type_symbol
_atom_site_fract_x
_atom_site_fract_y
_atom_site_fract_z
Ta1 Ta 0.0000 0.0000 0.2487
Hg1 Hg 0.0000 0.0000 0.5000
Pb1 Pb 0.0000 0.0000 0.0000
# V, Å³/atom: 20.54
# Energy of formation from the pure elements, eV/atom: 0.5567
# Crystal system: trigonal
# Excess energy over the best structure of this formula in the dataset, eV/atom: 0.234

---

What did the fourth record say?
# Ta2HgPb (PBE, optimized geometry)
data_Ta2HgPb
_chemical_formula_sum 'Ta6 Hg3 Pb3'
_cell_length_a 3.1076
_cell_length_b 3.1076
_cell_length_c 29.4777
_cell_angle_alpha 90.00
_cell_angle_beta 90.00
_cell_angle_gamma 120.00
_symmetry_space_group_name_H-M 'R -3 m'
_symmetry_Int_Tables_number 166
_symmetry_space_group_name_Hall '-R 3 2"'
loop_
_atom_site_label
_atom_site_type_symbol
_atom_site_fract_x
_atom_site_fract_y
_atom_site_fract_z
Ta1 Ta 0.0000 0.0000 0.2487
Hg1 Hg 0.0000 0.0000 0.5000
Pb1 Pb 0.0000 0.0000 0.0000
# V, Å³/atom: 20.54
# Energy of formation from the pure elements, eV/atom: 0.5567
# Crystal system: trigonal
# Excess energy over the best structure of this formula in the dataset, eV/atom: 0.234

---

- Among the records above, which one has the lowest V?
  BaLi2GeF8

---

- The highest V belongs to which entry?
  Pm4Pr3Ho2

---

- Look up the V of the third one.
  19.99 Å³/atom